(1)
Computed, not measured: a geometry-optimized HgB3Rh structure at the PBE level of DFT.

The structure in extended XYZ format:
```
5
Lattice="4.179 0.000 0.000 0.000 4.179 0.000 0.000 0.000 4.179" Properties=species:S:1:pos:R:3 pbc="T T T"
B 2.090 0.000 0.000
B 0.000 0.000 2.090
B 0.000 2.090 0.000
Hg 2.090 2.090 2.090
Rh 0.000 0.000 0.000
```

Output
The value obtained for the volume is 14.60 A^3/atom. For the energy above the lowest structure with this stoichiometry, the calculation gives 0 meV per atom. The calculation puts the total magnetization at 0.000 μB/atom. As for the space group: Pm-3m, No. 221.

---

(2)
Computed, not measured: a geometry-optimized HgBRh2 structure at the PBE level of DFT.

The structure in extended XYZ format:
```
4
Lattice="-1.042 1.859 2.319 -3.095 0.384 0.440 -1.436 -4.534 5.127" Properties=species:S:1:pos:R:3 pbc="T T T"
Hg -2.786 -1.141 3.940
B -4.194 -3.036 6.965
Rh -1.427 -3.672 4.441
Rh -1.388 -0.120 1.611
```

Output
The value obtained for the volume is 14.50 A^3/atom. For the energy above the lowest structure with this stoichiometry, the calculation gives 0 meV per atom. The calculation puts the total magnetization at 0.000 μB/atom. As for the space group: R3m, No. 160.

---

(3)
Computed, not measured: a geometry-optimized HgBRh structure at the PBE level of DFT.

The structure in extended XYZ format:
```
12
Lattice="3.822 0.784 0.639 2.386 7.475 0.974 2.382 2.483 7.118" Properties=species:S:1:pos:R:3 pbc="T T T"
B 5.021 8.115 2.771
B 3.570 2.626 5.961
B 3.572 5.122 2.889
B 5.019 5.619 5.843
Rh 3.341 7.045 1.901
Rh 3.339 4.549 4.973
Rh 5.249 3.696 6.831
Rh 5.251 6.192 3.759
Hg 4.403 7.416 7.302
Hg 6.572 8.304 5.476
Hg 2.019 2.437 3.256
Hg 4.188 3.325 1.430
```

Output
The value obtained for the volume is 14.58 A^3/atom. The calculation puts the total magnetization at 0.000 μB/atom. As for the space group: P2_1/m, No. 11. The calculated total energy comes out at -4.712 eV/atom.

---

(4)
Computed, not measured: a geometry-optimized Hg2BRh structure at the PBE level of DFT.

The structure in extended XYZ format:
```
8
Lattice="9.355 0.000 0.000 0.000 9.355 0.000 4.677 4.677 2.027" Properties=species:S:1:pos:R:3 pbc="T T T"
Rh 9.355 4.677 1.014
Rh 0.000 0.000 0.000
Hg 4.682 7.016 0.507
Hg 11.694 9.350 1.520
Hg 4.672 2.339 0.507
Hg 7.016 9.360 1.520
B 4.677 4.677 0.000
B 4.677 9.355 1.014
```

Output
The value obtained for the volume is 22.18 A^3/atom. The calculation puts the total magnetization at 0.000 μB/atom. As for the space group: I-42d, No. 122. The calculated total energy comes out at -3.185 eV/atom.

---

(5)
Computed, not measured: a geometry-optimized HgB3Rh structure at the PBE level of DFT.

The structure in extended XYZ format:
```
5
Lattice="-3.314 2.609 -0.191 -2.373 -3.128 -1.552 -1.101 -1.111 3.921" Properties=species:S:1:pos:R:3 pbc="T T T"
B -1.186 -1.564 -0.776
B -0.550 -0.555 1.961
B -1.657 1.304 -0.096
Hg 0.000 0.000 0.000
Rh -3.394 -0.815 1.089
```

Output
The value obtained for the volume is 15.05 A^3/atom. For the energy above the lowest structure with this stoichiometry, the calculation gives 1406 meV per atom. The calculation puts the total magnetization at 0.000 μB/atom. As for the space group: Pm-3m, No. 221.

---

(6)
Computed, not measured: a geometry-optimized Hg2BRh2 structure at the PBE level of DFT.

The structure in extended XYZ format:
```
10
Lattice="-2.429 -2.374 -4.693 5.249 -1.411 -2.003 -0.265 -4.187 2.255" Properties=species:S:1:pos:R:3 pbc="T T T"
Rh 1.347 -0.866 -1.449
Rh 1.474 -2.919 -5.247
Rh 3.565 -1.968 -3.235
Rh -0.745 -1.817 -3.461
Hg 2.596 -4.855 -3.680
Hg -0.417 -4.529 -3.428
Hg 2.972 -3.443 -1.014
Hg -0.040 -3.117 -0.761
B 0.000 0.000 0.000
B 1.410 -1.892 -3.348
```

Output
The value obtained for the volume is 15.99 A^3/atom. The calculation puts the total magnetization at 0.000 μB/atom. As for the space group: P4/mbm, No. 127. The calculated total energy comes out at -4.364 eV/atom.

---

The highest volume belongs to which entry?
Hg2BRh

---

Look up the volume of the sixth one.
15.99 A^3/atom

---

Which of these has the highest volume?
Hg2BRh